No. 1
Crystalline CaPmPd at its relaxed geometry, computed with PBE-GGA.

a = 5.7746 Å, b = 4.9098 Å, c = 6.4515 Å
α = 90.00°, β = 104.92°, γ = 90.00°
Space group P2_1/m (No. 11)
Inequivalent atoms, fractional coordinates:
Ca  0.0753  0.2500  0.2855 x2
Pm  0.4740  0.2500  0.8230 x2
Pd  0.3850  0.7500  0.5865 x2

**Relative energy among the computed polymorphs**: 0.088 eV per atom
**Magnetic moment**: 0.00 μB per cell
**E_form**: -0.439 eV/atom

---

No. 2
Crystalline Tb3DyCo at its relaxed geometry, computed with PBE-GGA.

a = 5.2913 Å, b = 5.2913 Å, c = 5.2913 Å
α = 90.00°, β = 90.00°, γ = 90.00°
Space group Pm-3m (No. 221)
Inequivalent atoms, fractional coordinates:
Tb  0.0000  0.0000  0.5000 x3
Dy  0.5000  0.5000  0.5000 x1
Co  0.0000  0.0000  0.0000 x1

**Relative energy among the computed polymorphs**: 0.124 eV per atom
**Magnetic moment**: 0.00 μB per cell
**E_form**: 0.019 eV/atom